AcHoErHg, optimized geometry, DFT PBE; ΔE_f = 0.07 eV/atom; space group = No. 216
1.0
0.000 3.923 3.923
3.923 0.000 3.923
3.923 3.923 0.000
Ac Ho Er Hg
1 1 1 1
Cartesian
0.000 0.000 0.000
1.962 1.962 1.962
5.885 5.885 5.885
3.923 3.923 3.923